1.
12
Lattice="-2.507 0.319 -3.179 -8.807 -2.163 6.730 0.710 8.223 2.859" Properties=species:S:1:pos:R:3 comment="PBE PrYTe, relaxed" e_above_lowest_polymorph_ev_per_atom=0.1353 raw_formation_energy_ev_per_atom=-0.7881 dos_ef_per_ev_atom=1.108 magmom_total_mub_per_cell=0.11 energy_ev_per_atom=-5.58 pbc="T T T"
Pr -7.480 6.688 3.977
Pr -8.802 0.244 4.373
Pr -1.802 6.135 2.037
Pr -3.125 -0.309 2.434
Y -4.546 3.614 1.354
Y -0.954 3.056 1.059
Y -6.059 2.764 5.057
Y -9.651 3.323 5.351
Te -6.180 0.966 2.377
Te -7.917 5.303 6.777
Te -4.425 5.413 4.033
Te -2.688 1.076 -0.366

---

2.
3
Lattice="-3.155 0.592 2.312 -2.075 -2.574 -2.173 4.384 -3.428 3.475" Properties=species:S:1:pos:R:3 comment="PBE PrYTe, relaxed" e_above_lowest_polymorph_ev_per_atom=0.1317 raw_formation_energy_ev_per_atom=-0.7917 dos_ef_per_ev_atom=1.043 magmom_total_mub_per_cell=0.00 energy_ev_per_atom=-5.59 pbc="T T T"
Pr 0.024 -0.061 0.049
Y 1.113 -2.781 2.231
Te -1.984 -2.568 1.335

---

3.
20
Lattice="7.492 0.000 -0.116 0.000 8.360 0.000 -0.083 0.000 11.372" Properties=species:S:1:pos:R:3 comment="PBE Pr3YTe6, relaxed" raw_formation_energy_ev_per_atom=-1.4027 magmom_total_mub_per_cell=0.00 energy_ev_per_atom=-5.37 pbc="T T T"
Pr 4.072 7.365 8.414
Pr 3.746 4.180 -0.058
Pr 3.337 0.995 2.842
Pr 0.368 5.175 2.786
Pr -0.042 0.000 5.686
Pr 7.041 3.185 8.470
Y 3.705 4.180 5.628
Y 0.000 0.000 0.000
Te 4.909 1.446 10.380
Te 4.870 1.502 6.491
Te 4.957 3.736 2.841
Te 2.452 4.624 8.414
Te 2.539 6.858 4.765
Te 2.500 6.914 0.876
Te 1.204 2.734 4.752
Te 1.166 2.678 0.863
Te 1.169 0.444 8.585
Te 6.240 7.916 2.671
Te 6.243 5.682 10.393
Te 6.205 5.626 6.504

---

4.
8
Lattice="-0.695 -4.277 0.385 3.058 -1.122 -6.945 5.574 -0.433 5.252" Properties=species:S:1:pos:R:3 comment="PBE PrY3Te4, relaxed" e_above_lowest_polymorph_ev_per_atom=0.0021 raw_formation_energy_ev_per_atom=-1.3392 dos_ef_per_ev_atom=0.635 magmom_total_mub_per_cell=0.00 energy_ev_per_atom=-5.93 pbc="T T T"
Pr -0.348 -2.139 0.192
Y 2.787 -0.217 2.626
Y 3.969 -2.916 -0.654
Y 1.529 -0.561 -3.473
Te 2.237 -0.403 -0.439
Te 3.351 -3.086 -3.648
Te 6.395 -1.153 -1.254
Te 4.586 -2.747 2.341

---

5.
12
Lattice="7.585 0.210 0.000 2.336 7.249 0.000 1.168 3.624 6.601" Properties=species:S:1:pos:R:3 comment="PBE PrY5Te6, relaxed" raw_formation_energy_ev_per_atom=-1.3342 dos_ef_per_ev_atom=0.466 magmom_total_mub_per_cell=0.00 energy_ev_per_atom=-6.00 pbc="T T T"
Pr 0.000 0.000 0.000
Y 4.961 3.730 4.548
Y 1.168 3.624 2.194
Y 4.961 3.730 0.000
Y 2.336 7.249 4.407
Y 6.129 7.354 2.053
Te 6.230 2.024 2.277
Te 3.691 5.435 2.277
Te 2.492 1.948 0.000
Te 7.430 5.511 0.000
Te 7.399 5.649 4.324
Te 4.859 9.059 4.324

---

6.
22
Lattice="4.316 0.000 0.000 -2.158 7.167 0.000 0.000 0.000 22.356" Properties=species:S:1:pos:R:3 comment="PBE PrY4Te6, relaxed" raw_formation_energy_ev_per_atom=-1.3988 dos_ef_per_ev_atom=0.348 magmom_total_mub_per_cell=0.00 energy_ev_per_atom=-5.90 pbc="T T T"
Pr 2.158 2.206 5.589
Pr 0.000 4.961 16.767
Y 2.158 5.107 11.965
Y 0.000 5.889 2.788
Y 0.000 2.060 10.390
Y 2.158 1.278 19.568
Y 2.158 5.107 21.568
Y 0.000 2.060 0.788
Y 2.158 1.278 13.966
Y 0.000 5.889 8.390
Te 2.158 0.000 0.000
Te 2.158 0.000 11.178
Te 0.000 0.750 7.538
Te 2.158 6.417 14.817
Te 2.158 6.417 18.716
Te 0.000 0.750 3.639
Te 2.158 3.816 9.098
Te 0.000 3.351 13.257
Te 0.000 3.351 20.276
Te 2.158 3.816 2.080
Te 0.000 4.577 5.589
Te 2.158 2.590 16.767

---

7.
15
Lattice="-5.802 -0.178 6.676 3.746 -7.527 -2.799 8.027 3.550 1.218" Properties=species:S:1:pos:R:3 comment="PBE Pr3Y4Te8, relaxed" raw_formation_energy_ev_per_atom=-1.4166 dos_ef_per_ev_atom=0.484 magmom_total_mub_per_cell=0.00 energy_ev_per_atom=-5.77 pbc="T T T"
Pr -1.028 -3.853 1.939
Pr 1.113 1.686 3.947
Pr 2.986 -2.077 2.548
Y -2.901 -0.089 3.338
Y 1.873 -3.764 -1.399
Y 0.000 0.000 0.000
Y 4.014 1.775 0.609
Te -0.009 -1.073 2.968
Te 4.824 -4.737 -1.787
Te -2.834 -1.162 6.227
Te 1.897 -4.895 1.526
Te 4.075 0.740 3.569
Te 8.805 -2.993 -1.132
Te 6.949 0.760 0.206
Te 5.980 -3.082 2.127

---

8.
10
Lattice="-4.335 -0.877 -0.715 -0.046 -2.689 3.583 -1.868 14.253 7.872" Properties=species:S:1:pos:R:3 comment="PBE Pr4YTe5, relaxed" raw_formation_energy_ev_per_atom=-1.4127 dos_ef_per_ev_atom=0.588 magmom_total_mub_per_cell=0.00 energy_ev_per_atom=-5.54 pbc="T T T"
Pr -3.216 9.880 7.373
Pr -4.687 5.888 7.159
Pr -1.562 4.799 3.581
Pr -3.033 0.806 3.367
Y 0.000 0.000 0.000
Te -0.766 2.355 1.758
Te -2.190 -1.783 1.434
Te -5.482 8.331 8.983
Te -2.400 7.373 5.502
Te -3.849 3.314 5.238

---

9.
4
Lattice="3.885 0.000 0.000 0.000 3.885 0.000 0.000 0.000 8.064" Properties=species:S:1:pos:R:3 comment="PBE PrY2Te, relaxed" e_above_lowest_polymorph_ev_per_atom=0.1168 raw_formation_energy_ev_per_atom=-0.5709 dos_ef_per_ev_atom=1.408 magmom_total_mub_per_cell=0.00 energy_ev_per_atom=-5.78 pbc="T T T"
Pr 1.943 1.943 4.032
Y 0.000 0.000 6.310
Y 0.000 0.000 1.754
Te 1.943 1.943 0.000

---

10.
10
Lattice="0.071 6.336 -4.702 -7.534 -1.648 1.669 3.291 0.331 6.736" Properties=species:S:1:pos:R:3 comment="PBE PrY3Te, relaxed" raw_formation_energy_ev_per_atom=-0.3581 dos_ef_per_ev_atom=1.396 magmom_total_mub_per_cell=0.00 energy_ev_per_atom=-5.82 pbc="T T T"
Pr 2.083 4.595 1.978
Pr -6.254 0.425 1.725
Y 0.545 5.296 -2.092
Y -2.331 0.722 1.470
Y -1.840 4.298 2.233
Y -2.634 4.122 -1.467
Y -4.716 -0.276 5.795
Y -1.537 0.897 5.170
Te -4.293 2.886 0.703
Te 0.121 2.134 3.001

---

11.
14
Lattice="7.621 0.000 -2.694 -3.810 6.600 -2.694 0.000 0.000 8.083" Properties=species:S:1:pos:R:3 comment="PBE Pr2Y2Te3, relaxed" raw_formation_energy_ev_per_atom=-1.1596 dos_ef_per_ev_atom=0.381 magmom_total_mub_per_cell=0.00 energy_ev_per_atom=-5.72 pbc="T T T"
Pr 2.480 2.305 1.753
Pr 0.000 0.000 2.823
Pr 4.385 0.995 -0.941
Pr 4.567 3.300 -3.635
Y 0.000 0.000 6.967
Y 0.526 5.689 0.372
Y -1.379 4.211 3.066
Y 0.853 3.300 -2.322
Te 3.302 4.181 -0.628
Te -1.396 5.719 -2.067
Te 1.840 4.950 3.322
Te 5.780 1.650 2.067
Te 2.349 0.769 4.761
Te -0.444 2.531 0.628

---

12.
8
Lattice="4.030 0.000 0.000 -2.015 6.181 0.000 0.000 0.000 9.889" Properties=species:S:1:pos:R:3 comment="PBE PrY2Te, relaxed" e_above_lowest_polymorph_ev_per_atom=0.0000 raw_formation_energy_ev_per_atom=-0.6877 dos_ef_per_ev_atom=1.397 magmom_total_mub_per_cell=0.01 energy_ev_per_atom=-5.90 pbc="T T T"
Pr 2.015 5.505 2.472
Pr 0.000 0.677 7.417
Y 0.000 4.489 5.299
Y 2.015 1.693 4.590
Y 0.000 4.489 9.535
Y 2.015 1.693 0.354
Te 2.015 3.313 7.417
Te 0.000 2.868 2.472

---

13.
6
Lattice="4.476 0.000 0.000 0.000 4.476 0.000 -2.238 -2.238 8.867" Properties=species:S:1:pos:R:3 comment="PBE PrYTe, relaxed" e_above_lowest_polymorph_ev_per_atom=0.0000 raw_formation_energy_ev_per_atom=-0.9234 dos_ef_per_ev_atom=0.875 magmom_total_mub_per_cell=0.00 energy_ev_per_atom=-5.72 pbc="T T T"
Te 0.000 0.000 2.356
Te 2.238 2.238 6.512
Y 0.000 2.238 0.000
Y 2.238 0.000 0.000
Pr 2.238 2.238 3.192
Pr 0.000 0.000 5.676

---

14.
4
Lattice="3.926 0.000 0.000 1.963 3.400 0.000 1.963 1.133 9.947" Properties=species:S:1:pos:R:3 comment="PBE PrY2Te, relaxed" e_above_lowest_polymorph_ev_per_atom=0.1285 raw_formation_energy_ev_per_atom=-0.5592 dos_ef_per_ev_atom=1.254 magmom_total_mub_per_cell=0.21 energy_ev_per_atom=-5.77 pbc="T T T"
Pr 3.926 2.267 4.980
Y 1.963 1.133 7.859
Y 1.963 1.133 2.083
Te 5.889 3.400 9.947

---

15.
80
Lattice="-9.162 6.803 -11.054 -9.140 -7.851 10.355 8.260 11.202 7.660" Properties=species:S:1:pos:R:3 comment="PBE Pr3Y5Te12, relaxed" raw_formation_energy_ev_per_atom=-1.2400 magmom_total_mub_per_cell=0.00 energy_ev_per_atom=-5.46 pbc="T T T"
Pr -9.266 3.559 -3.450
Pr -13.839 1.465 -0.948
Pr -5.128 3.664 8.409
Pr -0.335 4.920 1.403
Pr -7.094 7.772 -6.463
Pr -7.083 0.445 4.242
Pr -2.958 9.710 2.720
Pr -2.948 2.382 13.424
Pr -9.706 5.234 5.558
Pr -4.913 6.490 -1.447
Pr 3.798 8.690 7.910
Pr -0.775 6.596 10.411
Y -2.508 0.707 4.416
Y -4.570 -3.926 5.177
Y 0.000 0.000 0.000
Y -4.688 1.989 -0.599
Y -0.451 9.003 -1.697
Y -9.151 -0.524 -0.349
Y -4.903 -0.837 9.257
Y -0.786 13.923 -0.293
Y -9.486 4.396 1.054
Y 1.617 9.972 2.894
Y -11.659 0.183 4.067
Y -5.021 5.077 3.481
Y -4.581 3.402 -5.527
Y 4.130 5.601 3.830
Y -0.555 5.758 5.907
Y -9.255 -3.769 7.255
Y -0.440 1.676 9.007
Y -5.139 10.992 -2.296
Y -5.353 8.166 7.560
Y -7.534 9.448 2.545
Te -7.396 4.424 -6.280
Te -4.529 2.607 5.269
Te -9.822 6.690 -4.554
Te -5.971 3.427 -2.769
Te -6.452 5.922 6.084
Te -12.608 3.868 -3.175
Te -6.736 0.667 7.583
Te -7.979 -5.127 9.480
Te -8.469 4.029 8.603
Te -10.585 2.207 -0.502
Te -8.207 5.901 -1.073
Te -15.570 -1.065 0.742
Te -3.253 1.341 10.237
Te -6.460 0.279 0.937
Te -6.175 -2.421 11.330
Te -0.105 8.277 1.285
Te -0.613 1.741 2.476
Te -9.638 -1.297 2.601
Te -13.557 1.615 2.403
Te -4.229 -1.408 3.421
Te -5.679 3.767 11.729
Te -7.710 3.585 3.202
Te -11.442 5.893 2.590
Te -2.616 12.906 1.717
Te -2.331 6.570 3.760
Te 1.400 4.262 4.371
Te -7.426 -2.751 5.245
Te 3.516 8.539 4.558
Te -4.362 6.387 -4.767
Te -5.813 11.563 3.540
Te -0.404 11.452 4.360
Te -9.937 1.877 5.676
Te -9.429 8.414 4.485
Te -3.866 12.576 -4.368
Te -6.788 8.814 -3.275
Te 5.529 11.219 6.219
Te -3.581 9.876 6.024
Te -1.572 6.126 -1.641
Te 0.544 7.948 7.464
Te -1.834 4.254 8.035
Te -2.063 15.281 -2.518
Te -3.305 9.488 -0.622
Te -4.070 6.728 9.731
Te 2.566 6.286 10.137
Te -3.589 4.233 0.877
Te -0.220 3.464 11.516
Te -5.512 7.547 1.693
Te -2.645 5.731 13.241

---

16.
3
Lattice="-2.313 1.135 3.220 1.200 -4.461 2.434 2.996 4.224 0.664" Properties=species:S:1:pos:R:3 comment="PBE PrYTe, relaxed" e_above_lowest_polymorph_ev_per_atom=0.3933 raw_formation_energy_ev_per_atom=-0.5301 dos_ef_per_ev_atom=1.237 magmom_total_mub_per_cell=0.00 energy_ev_per_atom=-5.33 pbc="T T T"
Pr 0.396 -0.877 3.797
Y -0.282 0.138 0.392
Te 1.769 1.638 2.128

---

17.
16
Lattice="-0.602 2.081 3.762 1.808 -3.947 -0.032 26.887 12.338 -2.524" Properties=species:S:1:pos:R:3 comment="PBE PrY3Te4, relaxed" e_above_lowest_polymorph_ev_per_atom=0.0000 raw_formation_energy_ev_per_atom=-1.3413 dos_ef_per_ev_atom=0.647 magmom_total_mub_per_cell=0.00 energy_ev_per_atom=-5.93 pbc="T T T"
Pr 20.367 9.325 0.604
Pr 7.727 1.147 0.602
Y 0.000 0.000 0.000
Y 13.444 6.169 -1.262
Y 24.626 8.902 -0.985
Y 3.467 1.571 2.191
Y 10.379 4.742 1.542
Y 17.714 5.730 -0.336
Te 25.452 11.659 0.127
Te 2.641 -1.186 1.079
Te 12.812 3.481 0.124
Te 15.282 6.992 1.082
Te 21.996 10.093 -2.065
Te 4.891 2.245 -0.459
Te 8.552 3.924 -0.803
Te 18.335 8.413 -1.721

---

18.
4
Lattice="3.875 0.000 0.000 1.938 3.356 0.000 1.938 1.119 10.775" Properties=species:S:1:pos:R:3 comment="PBE PrY2Te, relaxed" e_above_lowest_polymorph_ev_per_atom=0.3997 raw_formation_energy_ev_per_atom=-0.2880 dos_ef_per_ev_atom=1.487 magmom_total_mub_per_cell=1.32 energy_ev_per_atom=-5.50 pbc="T T T"
Pr 0.000 0.000 0.000
Y 1.938 1.119 7.424
Y 5.813 3.356 3.351
Te 3.875 2.237 5.387

---

19.
6
Lattice="4.416 0.000 0.000 0.000 6.237 0.000 -2.208 -3.118 6.666" Properties=species:S:1:pos:R:3 comment="PBE PrY2Te3, relaxed" raw_formation_energy_ev_per_atom=-1.3523 dos_ef_per_ev_atom=0.532 magmom_total_mub_per_cell=0.00 energy_ev_per_atom=-5.87 pbc="T T T"
Pr 1.104 1.559 3.333
Y 3.312 4.678 1.228
Y -1.104 -1.559 5.438
Te 3.312 1.559 0.978
Te -1.104 1.559 5.688
Te 1.104 -1.559 3.333